(1)
Computed, not measured: a geometry-optimized GaGeO4 structure at the PBE level of DFT.

Calculated values
Its formation energy from raw total energies is -1.26 eV/atom. The value obtained for the density is 4416 kg/m3. The calculation puts the calculated total energy at -140.086 eV/cell.

abc: 6.653 7.834 5.955
angles: 90.00 90.00 90.00
Space group Cmcm (No. 63)
Inequivalent atoms, fractional coordinates:
Ga1 0.000 0.048 0.250 [4 per cell]
Ge1 0.000 0.326 0.750 [4 per cell]
O1 0.000 0.165 0.537 [8 per cell]
O2 0.207 0.465 0.750 [8 per cell]



(2)
Computed, not measured: a geometry-optimized PuTa2CrC4 structure at the PBE level of DFT.

Calculated values
The value obtained for the density is 12049 kg/m3. The calculation puts the calculated total energy at -348.302 eV/cell.

abc: 3.200 11.108 10.946
angles: 90.00 90.00 90.00
Space group Cmcm (No. 63)
Inequivalent atoms, fractional coordinates:
Pu1 0.000 0.101 0.250 [4 per cell]
Ta1 0.000 0.370 0.043 [8 per cell]
Cr1 0.000 0.163 0.750 [4 per cell]
C1 0.000 0.000 0.000 [4 per cell]
C2 0.000 0.265 0.617 [8 per cell]
C3 0.000 0.432 0.250 [4 per cell]



(3)
Computed, not measured: a geometry-optimized Sr2PuGaO6 structure at the PBE level of DFT.

Calculated values
Its formation energy from raw total energies is -2.64 eV/atom. The value obtained for the density is 7062 kg/m3. The calculation puts the calculated total energy at -153.688 eV/cell.

abc: 9.986 5.782 5.828
angles: 90.00 125.16 90.00
Space group C2/m (No. 12)
Inequivalent atoms, fractional coordinates:
Sr1 0.248 0.000 0.239 [4 per cell]
Pu1 0.000 0.000 0.500 [2 per cell]
Ga1 0.000 0.500 0.000 [2 per cell]
O1 0.039 0.257 0.797 [8 per cell]
O2 0.245 0.500 0.317 [4 per cell]



(4)
Computed, not measured: a geometry-optimized Sr2ScTa structure at the PBE level of DFT.

Calculated values
The value obtained for the density is 5677 kg/m3. The calculation puts the calculated total energy at -36.059 eV/cell.

abc: 11.852 3.307 6.044
angles: 90.00 97.92 90.00
Space group C2/m (No. 12)
Inequivalent atoms, fractional coordinates:
Sr1 0.239 0.000 0.238 [4 per cell]
Sc1 0.000 0.000 0.500 [2 per cell]
Ta1 0.000 0.500 0.000 [2 per cell]



Number 2 is which compound?
PuTa2CrC4